No. 1
This record from Alexandria describes PmCu5Pt2 after structural relaxation. The functional is GGA-PBE.

Values from the calculation:
Density: 10.7 g/cm3
Raw total energy: -39.16 eV for the cell shown
Space-group type: Immm, No. 71
Crystal system: orthorhombic
Formation enthalpy at 0 K: -0.230 eV per atom

```
PmCu5Pt2
1.0
-1.597 1.144 -3.397
-0.615 -4.984 -3.655
-5.962 -1.739 -0.049
Cu Pt Pm
5 2 1
direct
0.000 0.500 0.500
0.363 0.463 0.811
0.637 0.537 0.189
0.637 0.189 0.537
0.363 0.811 0.463
0.268 0.232 0.232
0.732 0.768 0.768
0.000 0.000 0.000
```


No. 2
This record from Alexandria describes Pm3Cu2Pt after structural relaxation. The functional is GGA-PBE.

Values from the calculation:
Density: 9.1 g/cm3
Raw total energy: -31.31 eV for the cell shown
Space-group type: P4/mmm, No. 123
Crystal system: tetragonal
Formation enthalpy at 0 K: -0.471 eV per atom

```
Pm3Cu2Pt
1.0
-0.075 -1.370 3.301
2.664 -2.222 -0.862
7.172 7.354 3.214
Pm Cu Pt
3 2 1
direct
0.000 0.000 0.336
0.000 0.000 0.000
0.000 0.000 0.664
0.500 0.500 0.161
0.500 0.500 0.839
0.500 0.500 0.500
```


> Which value of formation enthalpy at 0 K does entry 1 give?

-0.230 eV per atom